(1)
PuTe2PdO: relaxed, GGA-PBE.

Summary:
Raw formation energy = -1.41 eV/atom
VASP energy = -7.5662 eV per atom
Crystal system = tetragonal

Cell lengths 3.9509, 3.9509, 14.2741 Å; angles 90.00, 90.00, 90.00 degrees
Space group P4/nmm (No. 129, origin choice 2)
Unique sites:
Pu  0.2500  0.2500  0.0836 x2
Te  0.2500  0.2500  0.4167 x2
Te  0.2500  0.2500  0.7925 x2
Pd  0.2500  0.2500  0.6041 x2
O  0.2500  0.7500  0.0000 x2

=====

(2)
PuTePdO6: relaxed, GGA-PBE.

Summary:
Raw formation energy = -1.30 eV/atom
VASP energy = -7.1280 eV per atom
Crystal system = trigonal

Cell lengths 5.6034, 5.6034, 9.0888 Å; angles 90.00, 90.00, 120.00 degrees
Space group P-31c (No. 163)
Unique sites:
Pu  0.3333  0.6667  0.2500 x2
Te  0.3333  0.6667  0.7500 x2
Pd  0.0000  0.0000  0.0000 x2
O  0.0052  0.3454  0.1308 x12

=====

The evaluated V for the records listed, in turn: 223 247 Å³/cell.